An optimized crystal structure of LaAgGeSe2S. Source: OQMD via LeMat-Bulk, functional PBE.

Unit cell a=6.905 b=6.905 c=10.903 alpha=90.00 beta=90.00 gamma=145.61
Sites, in units of the cell vectors:
1 La 0.000 0.000 0.000
2 La 0.000 0.000 0.500
3 Ag 0.482 0.518 0.750
4 Ag 0.518 0.482 0.250
5 Ge 0.239 0.761 0.250
6 Ge 0.761 0.239 0.750
7 Se 0.344 0.656 0.577
8 Se 0.344 0.656 0.923
9 Se 0.656 0.344 0.077
10 Se 0.656 0.344 0.423
11 S 0.099 0.901 0.750
12 S 0.901 0.099 0.250

Summary:
The value obtained for the volume is 293.6 Å³ per cell.

An optimized crystal structure of SmIn6Ag6. Source: OQMD via LeMat-Bulk, functional PBE.

Unit cell a=7.491 b=7.491 c=7.491 alpha=134.05 beta=99.46 gamma=98.07
Sites, in units of the cell vectors:
1 Sm 0.000 0.000 0.000
2 In 0.183 0.683 0.500
3 In 0.343 0.343 0.000
4 In 0.345 0.000 0.345
5 In 0.655 0.000 0.655
6 In 0.657 0.657 0.000
7 In 0.817 0.317 0.500
8 Ag 0.000 0.000 0.500
9 Ag 0.000 0.500 0.000
10 Ag 0.234 0.500 0.734
11 Ag 0.500 0.000 0.000
12 Ag 0.500 0.500 0.500
13 Ag 0.766 0.500 0.266

Summary:
The value obtained for the volume is 278.1 Å³ per cell.

An optimized crystal structure of GdHoSi2Mo2N. Source: OQMD via LeMat-Bulk, functional PBE.

Unit cell a=11.179 b=3.732 c=7.155 alpha=90.00 beta=125.85 gamma=90.00
Sites, in units of the cell vectors:
1 Gd 0.000 0.000 0.000
2 Gd 0.500 0.500 0.000
3 Ho 0.147 0.000 0.590
4 Ho 0.647 0.500 0.590
5 Si 0.206 0.500 0.959
6 Si 0.442 0.000 0.631
7 Si 0.706 0.000 0.959
8 Si 0.942 0.500 0.631
9 Mo 0.277 0.500 0.380
10 Mo 0.371 0.000 0.213
11 Mo 0.777 0.000 0.380
12 Mo 0.871 0.500 0.213
13 N 0.075 0.500 0.300
14 N 0.575 0.000 0.300

Summary:
The value obtained for the volume is 241.9 Å³ per cell.

An optimized crystal structure of IrF6. Source: OQMD via LeMat-Bulk, functional PBE.

Unit cell a=8.690 b=7.926 c=4.593 alpha=90.00 beta=90.00 gamma=90.00
Sites, in units of the cell vectors:
1 Ir 0.127 0.250 0.092
2 Ir 0.373 0.750 0.592
3 Ir 0.627 0.250 0.408
4 Ir 0.873 0.750 0.908
5 F 0.002 0.750 0.233
6 F 0.005 0.084 0.264
7 F 0.005 0.416 0.264
8 F 0.246 0.750 0.919
9 F 0.248 0.084 0.921
10 F 0.248 0.416 0.921
11 F 0.252 0.584 0.421
12 F 0.252 0.916 0.421
13 F 0.254 0.250 0.419
14 F 0.495 0.584 0.764
15 F 0.495 0.916 0.764
16 F 0.498 0.250 0.733
17 F 0.502 0.750 0.267
18 F 0.505 0.084 0.236
19 F 0.505 0.416 0.236
20 F 0.746 0.750 0.581
21 F 0.748 0.084 0.579
22 F 0.748 0.416 0.579
23 F 0.752 0.584 0.079
24 F 0.752 0.916 0.079
25 F 0.754 0.250 0.081
26 F 0.995 0.584 0.736
27 F 0.995 0.916 0.736
28 F 0.998 0.250 0.767

Summary:
The value obtained for the volume is 316.3 Å³ per cell.

An optimized crystal structure of SrTmMgTe3. Source: OQMD via LeMat-Bulk, functional PBE.

Unit cell a=7.911 b=7.911 c=11.291 alpha=90.00 beta=90.00 gamma=147.78
Sites, in units of the cell vectors:
1 Sr 0.232 0.768 0.750
2 Sr 0.768 0.232 0.250
3 Tm 0.000 0.000 0.000
4 Tm 0.000 0.000 0.500
5 Mg 0.478 0.522 0.250
6 Mg 0.522 0.478 0.750
7 Te 0.094 0.906 0.250
8 Te 0.363 0.637 0.057
9 Te 0.363 0.637 0.443
10 Te 0.637 0.363 0.557
11 Te 0.637 0.363 0.943
12 Te 0.906 0.094 0.750

Summary:
The value obtained for the volume is 376.7 Å³ per cell.

An optimized crystal structure of Cs3Mo2Br9. Source: OQMD via LeMat-Bulk, functional PBE.

Unit cell a=7.710 b=7.710 c=18.659 alpha=90.00 beta=90.00 gamma=120.00
Sites, in units of the cell vectors:
1 Cs 0.000 0.000 0.250
2 Cs 0.000 0.000 0.750
3 Cs 0.333 0.667 0.072
4 Cs 0.333 0.667 0.428
5 Cs 0.667 0.333 0.572
6 Cs 0.667 0.333 0.928
7 Mo 0.333 0.667 0.673
8 Mo 0.333 0.667 0.827
9 Mo 0.667 0.333 0.173
10 Mo 0.667 0.333 0.327
11 Br 0.003 0.501 0.750
12 Br 0.176 0.351 0.594
13 Br 0.176 0.351 0.906
14 Br 0.176 0.824 0.594
15 Br 0.176 0.824 0.906
16 Br 0.351 0.176 0.094
17 Br 0.351 0.176 0.406
18 Br 0.499 0.501 0.750
19 Br 0.499 0.997 0.750
20 Br 0.501 0.003 0.250
21 Br 0.501 0.499 0.250
22 Br 0.649 0.824 0.594
23 Br 0.649 0.824 0.906
24 Br 0.824 0.176 0.094
25 Br 0.824 0.176 0.406
26 Br 0.824 0.649 0.094
27 Br 0.824 0.649 0.406
28 Br 0.997 0.499 0.250

Summary:
The value obtained for the volume is 960.6 Å³ per cell.

An optimized crystal structure of RbZrPO. Source: OQMD via LeMat-Bulk, functional PBE.

Unit cell a=3.934 b=3.934 c=9.840 alpha=90.00 beta=90.00 gamma=90.00
Sites, in units of the cell vectors:
1 Rb 0.250 0.750 0.000
2 Rb 0.750 0.250 0.000
3 Zr 0.250 0.250 0.394
4 Zr 0.750 0.750 0.606
5 P 0.250 0.250 0.745
6 P 0.750 0.750 0.255
7 O 0.250 0.750 0.500
8 O 0.750 0.250 0.500

Summary:
The excess energy over the best structure of this formula in the dataset is 403 meV per atom. The value obtained for the volume is 152.2 Å³ per cell.

An optimized crystal structure of InMo4PbN2. Source: OQMD via LeMat-Bulk, functional PBE.

Unit cell a=3.261 b=3.261 c=13.355 alpha=90.00 beta=90.00 gamma=120.00
Sites, in units of the cell vectors:
1 In 0.000 0.000 0.000
2 Mo 0.000 0.000 0.321
3 Mo 0.000 0.000 0.679
4 Mo 0.333 0.667 0.173
5 Mo 0.333 0.667 0.827
6 Pb 0.333 0.667 0.500
7 N 0.667 0.333 0.251
8 N 0.667 0.333 0.749

Summary:
The value obtained for the volume is 123.0 Å³ per cell.

Number 1: calculated total energy -4.721 eV per atom. Number 2: calculated total energy -3.108 eV per atom. Number 3: calculated total energy -7.956 eV per atom. Number 4: calculated total energy -4.214 eV per atom. Number 5: calculated total energy -4.014 eV per atom. Number 6: calculated total energy -3.926 eV per atom. Number 7: calculated total energy -5.984 eV per atom. Number 8: calculated total energy -8.218 eV per atom.